(1)
! PBE GdZnInSe3, optimized geometry; values from VASP
! Total DFT energy (no corrections) in eV/cell: -49.5
! Offset from the most stable computed form in meV per atom: 137.3
&SYSTEM
  ibrav = 0, nat = 12, ntyp = 4
/
ATOMIC_SPECIES
Gd 157.25 Gd.upf
In 114.82 In.upf
Se 78.96 Se.upf
Zn 65.41 Zn.upf
ATOMIC_POSITIONS angstrom
Gd 13.527 0.000 3.575
Gd 1.668 0.000 5.212
In 2.229 0.000 0.626
In 12.966 0.000 8.160
Se 8.749 0.000 0.000
Se 5.422 0.000 1.703
Se 10.688 0.000 3.209
Se -1.152 0.000 4.393
Se 4.507 0.000 5.577
Se 9.773 0.000 7.083
Zn 7.828 0.000 2.485
Zn 7.367 0.000 6.301
CELL_PARAMETERS angstrom
8.749 -2.085 0.000
8.749 2.085 0.000
-2.303 0.000 8.786


(2)
! PBE Cu15Pb, optimized geometry; values from VASP
! Total DFT energy (no corrections) in eV/cell: -115.8
! Offset from the most stable computed form in meV per atom: 52.2
&SYSTEM
  ibrav = 0, nat = 32, ntyp = 2
/
ATOMIC_SPECIES
Cu 63.55 Cu.upf
Pb 207.20 Pb.upf
ATOMIC_POSITIONS angstrom
Cu 1.911 0.000 7.524
Cu 0.597 1.318 9.181
Cu 3.222 1.318 9.182
Cu 1.908 0.000 10.937
Cu 4.463 0.000 10.973
Cu 3.182 1.318 12.714
Cu 0.632 1.318 12.716
Cu 4.461 0.000 14.461
Cu 1.906 0.000 14.469
Cu 0.629 1.318 16.220
Cu 3.181 1.318 16.220
Cu 4.458 0.000 17.970
Cu 1.904 0.000 17.977
Cu 0.623 1.318 19.731
Cu 3.182 1.318 19.735
Cu 1.899 0.000 21.494
Cu 4.458 0.000 21.499
Cu 3.177 1.318 23.252
Cu 0.623 1.318 23.259
Cu 1.900 0.000 25.009
Cu 4.452 0.000 25.010
Cu 3.175 1.318 26.760
Cu 0.620 1.318 26.768
Cu 4.449 0.000 28.513
Cu 1.899 0.000 28.515
Cu 0.618 1.318 30.256
Cu 3.173 1.318 30.292
Cu 1.859 0.000 32.048
Cu 4.484 0.000 32.049
Cu 3.170 1.318 33.706
Pb 4.466 0.000 6.484
Pb 0.615 1.318 34.746
CELL_PARAMETERS angstrom
5.109 0.000 0.000
0.000 2.636 0.000
-0.028 0.000 41.230


(3)
! PBE PrZrPa, optimized geometry; values from VASP
! Total DFT energy (no corrections) in eV/cell: -19.4
! Formation enthalpy at 0 K in meV/atom: 1133
&SYSTEM
  ibrav = 0, nat = 3, ntyp = 3
/
ATOMIC_SPECIES
Pa 231.04 Pa.upf
Pr 140.91 Pr.upf
Zr 91.22 Zr.upf
ATOMIC_POSITIONS angstrom
Pa 1.774 1.774 1.774
Pr 0.000 0.000 0.000
Zr 5.323 5.323 5.323
CELL_PARAMETERS angstrom
0.000 3.549 3.549
3.549 0.000 3.549
3.549 3.549 0.000